# NaTlAgS2 | Alexandria via LeMat-Bulk | GGA-PBE | optimized geometry
data_NaTlAgS2
_chemical_formula_sum 'Na2 Tl2 Ag2 S4'
_cell_length_a 6.968
_cell_length_b 5.075
_cell_length_c 7.639
_cell_angle_alpha 90.00
_cell_angle_beta 111.06
_cell_angle_gamma 90.00
_symmetry_space_group_name_H-M 'P 1 2/c 1'
_symmetry_Int_Tables_number 13
_symmetry_space_group_name_Hall '-P 2yc'
loop_
_atom_site_label
_atom_site_fract_x
_atom_site_fract_y
_atom_site_fract_z
Na1 0.000 0.245 0.250
Tl1 0.500 0.424 0.750
Ag1 0.500 0.000 0.000
S1 0.220 0.281 0.990
# Total magnetization   0.00 μB per formula unit
# Final energy   -3.31 eV per atom
# Crystal system   monoclinic
# D(E_F)   4.36 states/eV per cell